No. 1
CaPuMg2O6 | PBE | optimized geometry

Output
For the uncorrected formation energy, the calculation gives -2594 kJ/mol of formula units. The calculation puts the total magnetization at 2.00 μB per formula unit. For the raw total energy, the calculation gives -7.616 eV per atom. As for the space group: R3 (146).

Cell lengths 5.8384, 5.8384, 5.8384 Å; angles 55.87, 55.87, 55.87 degrees
Closest atoms and distances in Å follow each position.
Fractional positions:
1 Ca 0.0000 0.0000 0.0000  6 O 2.29-2.44
2 Pu 0.4843 0.4843 0.4843  6 O 2.07-2.11
3 Mg 0.2776 0.2776 0.2776  3 O 2.06
4 Mg 0.7911 0.7911 0.7911  6 O 2.06-2.23
5 O 0.0889 0.6596 0.4302  1 Mg 2.06, 1 Pu 2.07, 1 Ca 2.29
6 O 0.2044 0.5655 0.8840  2 Mg 2.06-2.23, 1 Pu 2.11
7 O 0.4302 0.0889 0.6596  1 Mg 2.06, 1 Pu 2.07, 1 Ca 2.29
8 O 0.5655 0.8840 0.2044  2 Mg 2.06-2.23, 1 Pu 2.11
9 O 0.6596 0.4302 0.0889  1 Mg 2.06, 1 Pu 2.07, 1 Ca 2.29
10 O 0.8840 0.2044 0.5655  2 Mg 2.06-2.23, 1 Pu 2.11

=====

No. 2
Ca2MgReO6 | PBE | optimized geometry

Output
For the uncorrected formation energy, the calculation gives -2368 kJ/mol of formula units. The calculation puts the total magnetization at 1.02 μB per formula unit. For the raw total energy, the calculation gives -7.233 eV per atom. As for the space group: P2_1/c (14).

Cell lengths 5.4448, 5.6072, 9.4852 Å; angles 90.00, 124.95, 90.00 degrees
Closest atoms and distances in Å follow each position.
Fractional positions:
1 Ca 0.2357 0.0524 0.2477  6 O 2.35-2.62
2 Ca 0.2357 0.4476 0.7477  6 O 2.35-2.62
3 Ca 0.7643 0.5524 0.2523  6 O 2.35-2.62
4 Ca 0.7643 0.9476 0.7523  6 O 2.35-2.62
5 Mg 0.0000 0.0000 0.5000  6 O 2.08-2.10
6 Mg 0.0000 0.5000 0.0000  6 O 2.08-2.10
7 Re 0.5000 0.0000 0.0000  6 O 1.94-1.95
8 Re 0.5000 0.5000 0.5000  6 O 1.94-1.95
9 O 0.1688 0.1959 0.9565  1 Re 1.94, 1 Mg 2.09
10 O 0.1688 0.3041 0.4565  1 Re 1.94, 1 Mg 2.09
11 O 0.2586 0.7157 0.9505  1 Re 1.95, 1 Mg 2.10
12 O 0.2586 0.7843 0.4505  1 Re 1.95, 1 Mg 2.10
13 O 0.3475 0.0271 0.7588  1 Re 1.94, 1 Mg 2.08
14 O 0.3475 0.4729 0.2588  1 Re 1.94, 1 Mg 2.08
15 O 0.6525 0.5271 0.7412  1 Re 1.94, 1 Mg 2.08
16 O 0.6525 0.9729 0.2412  1 Re 1.94, 1 Mg 2.08
17 O 0.7414 0.2157 0.5495  1 Re 1.95, 1 Mg 2.10
18 O 0.7414 0.2843 0.0495  1 Re 1.95, 1 Mg 2.10
19 O 0.8312 0.6959 0.5435  1 Re 1.94, 1 Mg 2.09
20 O 0.8312 0.8041 0.0435  1 Re 1.94, 1 Mg 2.09

=====

No. 3
CaMgReO6 | PBE | optimized geometry

Output
For the uncorrected formation energy, the calculation gives -1722 kJ/mol of formula units. The calculation puts the total magnetization at 1.03 μB per formula unit. For the raw total energy, the calculation gives -7.071 eV per atom. As for the space group: P-31c (163).

Cell lengths 5.2692, 5.2692, 9.9407 Å; angles 90.00, 90.00, 120.00 degrees
Closest atoms and distances in Å follow each position.
Fractional positions:
1 Ca 0.0000 0.0000 0.0000  6 O 2.39
2 Ca 0.0000 0.0000 0.5000  6 O 2.39
3 Mg 0.3333 0.6667 0.2500  6 O 2.09
4 Mg 0.6667 0.3333 0.7500  6 O 2.09
5 Re 0.3333 0.6667 0.7500  6 O 1.89
6 Re 0.6667 0.3333 0.2500  6 O 1.89
7 O 0.0285 0.3770 0.6430  1 Re 1.89, 1 Mg 2.09
8 O 0.0285 0.6515 0.8570  1 Re 1.89, 1 Mg 2.09
9 O 0.3485 0.3770 0.8570  1 Re 1.89, 1 Mg 2.09
10 O 0.3485 0.9715 0.6430  1 Re 1.89, 1 Mg 2.09
11 O 0.3770 0.0285 0.1430  1 Re 1.89, 1 Mg 2.09
12 O 0.3770 0.3485 0.3570  1 Re 1.89, 1 Mg 2.09
13 O 0.6230 0.6515 0.6430  1 Re 1.89, 1 Mg 2.09
14 O 0.6230 0.9715 0.8570  1 Re 1.89, 1 Mg 2.09
15 O 0.6515 0.0285 0.3570  1 Re 1.89, 1 Mg 2.09
16 O 0.6515 0.6230 0.1430  1 Re 1.89, 1 Mg 2.09
17 O 0.9715 0.3485 0.1430  1 Re 1.89, 1 Mg 2.09
18 O 0.9715 0.6230 0.3570  1 Re 1.89, 1 Mg 2.09

=====

No. 4
Ca2MgRhO | PBE | optimized geometry

Output
For the uncorrected formation energy, the calculation gives -73 kJ/mol of formula units. The calculation puts the total magnetization at 0.00 μB per formula unit. For the raw total energy, the calculation gives -3.733 eV per atom. As for the space group: P4/mmm (123).

Cell lengths 5.2838, 5.2838, 4.7857 Å; angles 90.00, 90.00, 90.00 degrees
Closest atoms and distances in Å follow each position.
Fractional positions:
1 Ca 0.0000 0.5000 0.0000  2 Rh 2.64
2 Ca 0.5000 0.0000 0.0000  2 Rh 2.64
3 Mg 0.0000 0.0000 0.5000  2 Rh 2.39
4 Rh 0.0000 0.0000 0.0000  2 Mg 2.39, 4 Ca 2.64
5 O 0.5000 0.5000 0.5000  8 Ca 3.56, 4 Mg 3.74

=====

No. 5
CaMgRuO6 | PBE | optimized geometry

Output
For the uncorrected formation energy, the calculation gives -1329 kJ/mol of formula units. The calculation puts the total magnetization at 0.00 μB per formula unit. For the raw total energy, the calculation gives -6.266 eV per atom. As for the space group: P312 (149).

Cell lengths 5.2169, 5.2169, 4.9712 Å; angles 90.00, 90.00, 120.00 degrees
Closest atoms and distances in Å follow each position.
Fractional positions:
1 Ca 0.0000 0.0000 0.0000  6 O 2.38
2 Mg 0.3333 0.6667 0.5000  6 O 2.07
3 Ru 0.6667 0.3333 0.5000  6 O 1.89
4 O 0.3796 0.0264 0.7152  1 Ru 1.89, 1 Mg 2.07
5 O 0.3796 0.3532 0.2848  1 Ru 1.89, 1 Mg 2.07
6 O 0.6468 0.0264 0.2848  1 Ru 1.89, 1 Mg 2.07
7 O 0.6468 0.6204 0.7152  1 Ru 1.89, 1 Mg 2.07
8 O 0.9736 0.3532 0.7152  1 Ru 1.89, 1 Mg 2.07
9 O 0.9736 0.6204 0.2848  1 Ru 1.89, 1 Mg 2.07

=====

No. 6
CaMgS2O8 | PBE | optimized geometry

Output
For the uncorrected formation energy, the calculation gives -2363 kJ/mol of formula units. The calculation puts the total magnetization at 0.00 μB per formula unit. For the raw total energy, the calculation gives -6.334 eV per atom. As for the space group: P-3m1 (164).

Cell lengths 5.1311, 5.1311, 6.7389 Å; angles 90.00, 90.00, 120.00 degrees
Closest atoms and distances in Å follow each position.
Fractional positions:
1 Ca 0.0000 0.0000 0.0000  6 O 2.54
2 Mg 0.0000 0.0000 0.5000  6 O 2.07
3 S 0.3333 0.6667 0.7746  4 O 1.47-1.49
4 S 0.6667 0.3333 0.2254  4 O 1.47-1.49
5 O 0.1750 0.3500 0.7025  1 S 1.49
6 O 0.1750 0.8250 0.7025  1 S 1.49
7 O 0.3333 0.6667 0.9933  1 S 1.47
8 O 0.3500 0.1750 0.2975  1 S 1.49
9 O 0.6500 0.8250 0.7025  1 S 1.49
10 O 0.6667 0.3333 0.0067  1 S 1.47
11 O 0.8250 0.1750 0.2975  1 S 1.49
12 O 0.8250 0.6500 0.2975  1 S 1.49